A relaxed NdAlIr crystal. Source: OQMD, functional PBE.

Computed properties:
Calculated total energy   -5.883 eV/atom
Symmetry   P6_3/mmc (194)

Unit cell a=4.8474 b=4.8474 c=6.0153 alpha=90.00 beta=90.00 gamma=120.00
Fractional coordinates of all 6 atoms:
Nd 0.3333 0.6667 0.2500
Nd 0.6667 0.3333 0.7500
Al 0.3333 0.6667 0.7500
Al 0.6667 0.3333 0.2500
Ir 0.0000 0.0000 0.0000
Ir 0.0000 0.0000 0.5000